First-principles (PBE) data for a relaxed Tl2TeP2 crystal, as listed in Alexandria.

Computed properties:
Its formation energy (no corrections) is 0.352 eV per atom. For the polymorph energy (0 for the lowest one), the calculation gives 281 meV per atom. As for the crystal system: tetragonal. The total energy is -3.386 eV/atom.

a = 7.8061 Å, b = 7.8061 Å, c = 4.1092 Å
α = 90.00°, β = 90.00°, γ = 90.00°
With the nearest neighbours (Å) after each atom.
Space group P4/mbm (No. 127)
Inequivalent atoms, fractional coordinates:
Tl 0.1460 0.3540 0.0000 [4 per cell]  2 P 2.87
Te 0.0000 0.0000 0.5000 [2 per cell]  4 P 2.89
P 0.1724 0.6724 0.5000 [4 per cell]  2 Tl 2.87, 2 Te 2.89

=====

First-principles (PBE) data for a relaxed Ba3Cu crystal, as listed in Alexandria.

Computed properties:
As for the crystal system: orthorhombic. The total energy is -2.390 eV/atom. For the formation energy, the calculation gives 0.08 eV per atom.

a = 4.1968 Å, b = 6.5166 Å, c = 13.5590 Å
α = 90.00°, β = 90.00°, γ = 90.00°
With the nearest neighbours (Å) after each atom.
Space group Immm (No. 71)
Inequivalent atoms, fractional coordinates:
Ba 0.0000 0.0000 0.0000 [2 per cell]  4 Cu 3.88, 6 Ba 4.08-4.20
Ba 0.0000 0.5000 0.1806 [4 per cell]  2 Cu 3.22
Cu 0.0000 0.0000 0.5000 [2 per cell]  4 Ba 3.22

=====

First-principles (PBE) data for a relaxed Cs4Sm3InS8 crystal, as listed in Alexandria.

Computed properties:
Its formation energy (no corrections) is -1.547 eV per atom. As for the crystal system: trigonal. The total energy is -4.880 eV/atom.

a = 8.3089 Å, b = 8.3089 Å, c = 24.2521 Å
α = 90.00°, β = 90.00°, γ = 120.00°
With the nearest neighbours (Å) after each atom.
Space group R-3m (No. 166, hexagonal axes)
Inequivalent atoms, fractional coordinates:
Cs 0.0000 0.0000 0.0000 [3 per cell]  6 S 3.56
Cs 0.0000 0.5000 0.0000 [9 per cell]  6 S 3.49-3.50
Sm 0.0000 0.5000 0.5000 [9 per cell]  6 S 2.83-2.85
In 0.0000 0.0000 0.5000 [3 per cell]  6 S 2.76
S 0.0000 0.0000 0.2285 [6 per cell]  3 Sm 2.83
S 0.0090 0.5045 0.2276 [18 per cell]  1 In 2.76, 2 Sm 2.85

=====

First-principles (PBE) data for a relaxed AsWSeN2 crystal, as listed in Alexandria.

Computed properties:
Its formation energy (no corrections) is 0.571 eV per atom. For the polymorph energy (0 for the lowest one), the calculation gives 0 meV per atom. As for the crystal system: tetragonal. The total energy is -6.976 eV/atom.

a = 3.9307 Å, b = 3.9307 Å, c = 5.3027 Å
α = 90.00°, β = 90.00°, γ = 90.00°
With the nearest neighbours (Å) after each atom.
Space group P4/mmm (No. 123)
Inequivalent atoms, fractional coordinates:
As 0.0000 0.0000 0.0000 [1 per cell]  4 Se 2.78
W 0.5000 0.5000 0.5000 [1 per cell]  4 N 1.97
Se 0.5000 0.5000 0.0000 [1 per cell]  2 W 2.65, 4 As 2.78
N 0.0000 0.5000 0.5000 [2 per cell]  2 W 1.97

=====

Please write out number 1 again, unchanged.
First-principles (PBE) data for a relaxed Tl2TeP2 crystal, as listed in Alexandria.

Computed properties:
Its formation energy (no corrections) is 0.352 eV per atom. For the polymorph energy (0 for the lowest one), the calculation gives 281 meV per atom. As for the crystal system: tetragonal. The total energy is -3.386 eV/atom.

a = 7.8061 Å, b = 7.8061 Å, c = 4.1092 Å
α = 90.00°, β = 90.00°, γ = 90.00°
With the nearest neighbours (Å) after each atom.
Space group P4/mbm (No. 127)
Inequivalent atoms, fractional coordinates:
Tl 0.1460 0.3540 0.0000 [4 per cell]  2 P 2.87
Te 0.0000 0.0000 0.5000 [2 per cell]  4 P 2.89
P 0.1724 0.6724 0.5000 [4 per cell]  2 Tl 2.87, 2 Te 2.89

=====

Repeat the second record exactly.
First-principles (PBE) data for a relaxed Ba3Cu crystal, as listed in Alexandria.

Computed properties:
As for the crystal system: orthorhombic. The total energy is -2.390 eV/atom. For the formation energy, the calculation gives 0.08 eV per atom.

a = 4.1968 Å, b = 6.5166 Å, c = 13.5590 Å
α = 90.00°, β = 90.00°, γ = 90.00°
With the nearest neighbours (Å) after each atom.
Space group Immm (No. 71)
Inequivalent atoms, fractional coordinates:
Ba 0.0000 0.0000 0.0000 [2 per cell]  4 Cu 3.88, 6 Ba 4.08-4.20
Ba 0.0000 0.5000 0.1806 [4 per cell]  2 Cu 3.22
Cu 0.0000 0.0000 0.5000 [2 per cell]  4 Ba 3.22

=====

Q: The highest total energy belongs to which entry?
A: Ba3Cu